# AgWIN2, optimized geometry, DFT GGA-PBE
data_AgWIN2
_chemical_formula_sum 'Ag1 W1 I1 N2'
_cell_length_a 3.9710
_cell_length_b 3.9710
_cell_length_c 5.9553
_cell_angle_alpha 90.00
_cell_angle_beta 90.00
_cell_angle_gamma 90.00
_symmetry_space_group_name_H-M 'P 1'
_symmetry_Int_Tables_number 1
loop_
_symmetry_equiv_pos_as_xyz
'x,y,z'
loop_
_atom_site_label
_atom_site_fract_x
_atom_site_fract_y
_atom_site_fract_z
_atom_site_occupancy
I1 0.0000 0.0000 0.5000 1
Ag1 0.5000 0.5000 0.5000 1
W1 0.0000 0.0000 0.0000 1
N1 0.0000 0.5000 0.0000 1
N2 0.5000 0.0000 0.0000 1
# ΔE to the lowest computed polymorph   0.0000 eV/atom
# Magnetic moment   0.00 μB per formula unit
# Raw formation energy   0.519 eV/atom



# TcHg2Sb, optimized geometry, DFT GGA-PBE
data_TcHg2Sb
_chemical_formula_sum 'Tc1 Hg2 Sb1'
_cell_length_a 5.3864
_cell_length_b 5.3864
_cell_length_c 5.3864
_cell_angle_alpha 132.57
_cell_angle_beta 132.57
_cell_angle_gamma 69.34
_symmetry_space_group_name_H-M 'P 1'
_symmetry_Int_Tables_number 1
loop_
_symmetry_equiv_pos_as_xyz
'x,y,z'
loop_
_atom_site_label
_atom_site_fract_x
_atom_site_fract_y
_atom_site_fract_z
_atom_site_occupancy
Hg1 0.0000 0.0000 0.0000 1
Hg2 0.2500 0.7500 0.5000 1
Sb1 0.5000 0.5000 0.0000 1
Tc1 0.7500 0.2500 0.5000 1
# Magnetic moment   1.64 μB per formula unit
# Raw formation energy   0.568 eV/atom



# PrNd2Y6, optimized geometry, DFT GGA-PBE
data_PrNd2Y6
_chemical_formula_sum 'Pr2 Nd4 Y12'
_cell_length_a 6.6496
_cell_length_b 9.6801
_cell_length_c 9.6801
_cell_angle_alpha 95.49
_cell_angle_beta 81.64
_cell_angle_gamma 81.64
_symmetry_space_group_name_H-M 'P 1'
_symmetry_Int_Tables_number 1
loop_
_symmetry_equiv_pos_as_xyz
'x,y,z'
loop_
_atom_site_label
_atom_site_fract_x
_atom_site_fract_y
_atom_site_fract_z
_atom_site_occupancy
Pr1 0.2500 0.1196 0.8804 1
Pr2 0.7500 0.8804 0.1196 1
Nd1 0.1275 0.6133 0.6663 1
Nd2 0.3725 0.3337 0.3867 1
Nd3 0.8725 0.3867 0.3337 1
Nd4 0.6275 0.6663 0.6133 1
Y1 0.5015 0.6544 0.2775 1
Y2 0.9985 0.7225 0.3456 1
Y3 0.4985 0.3456 0.7225 1
Y4 0.0015 0.2775 0.6544 1
Y5 0.7315 0.0581 0.4602 1
Y6 0.7685 0.5398 0.9419 1
Y7 0.2685 0.9419 0.5398 1
Y8 0.2315 0.4602 0.0581 1
Y9 0.3159 0.7794 0.9505 1
Y10 0.1841 0.0495 0.2206 1
Y11 0.6841 0.2206 0.0495 1
Y12 0.8159 0.9505 0.7794 1
# ΔE to the lowest computed polymorph   0.0752 eV/atom
# Magnetic moment   0.00 μB per formula unit
# Energy of formation   0.09 eV per atom



# CdPtPb, optimized geometry, DFT GGA-PBE
data_CdPtPb
_chemical_formula_sum 'Cd1 Pt1 Pb1'
_cell_length_a 4.4681
_cell_length_b 4.4681
_cell_length_c 4.1990
_cell_angle_alpha 90.00
_cell_angle_beta 90.00
_cell_angle_gamma 120.00
_symmetry_space_group_name_H-M 'P 1'
_symmetry_Int_Tables_number 1
loop_
_symmetry_equiv_pos_as_xyz
'x,y,z'
loop_
_atom_site_label
_atom_site_fract_x
_atom_site_fract_y
_atom_site_fract_z
_atom_site_occupancy
Pb1 0.6667 0.3333 0.3917 1
Pt1 0.3333 0.6667 0.6811 1
Cd1 0.0000 0.0000 0.9272 1
# ΔE to the lowest computed polymorph   0.2192 eV/atom
# Magnetic moment   0.00 μB per formula unit
# Energy of formation   -0.02 eV per atom